Entry from Alexandria via LeMat-Bulk: a geometry-optimized K2CuPbI5 structure (PBE).

Raw total energy (eV per atom): -2.87
Raw formation energy (eV per formula unit): -8.07
Total magnetization (Bohr magnetons per cell): 0.000

The structure in POSCAR format:
```
K2CuPbI5
1.0
2.311 -10.451 0.000
2.311 10.451 0.000
0.000 0.000 15.114
K Cu Pb I
4 2 2 10
direct
0.114 0.886 0.500
0.115 0.885 0.151
0.885 0.115 0.651
0.886 0.114 0.000
0.441 0.559 0.230
0.559 0.441 0.730
0.195 0.805 0.839
0.805 0.195 0.339
0.039 0.961 0.816
0.296 0.704 0.490
0.312 0.688 0.185
0.348 0.652 0.825
0.500 0.500 0.077
0.500 0.500 0.577
0.652 0.348 0.325
0.688 0.312 0.685
0.704 0.296 0.990
0.961 0.039 0.316
```